(1)
Density functional theory data (SCAN) for Mn2SbPt at its PBEsol-relaxed geometry.

DOS at the Fermi energy, states/eV/cell: 2.63
E_tot, eV for the cell shown: -145.28
Space-group type: Pmmm
Formation energy without anion corrections, eV/atom: -0.329

Cell and atoms, written as POSCAR:
```
Mn2SbPt
1.0
-0.6982 -0.3401 -2.9059
-1.8165 -3.2412 0.8158
-4.6597 2.8105 0.7907
Mn Pt Sb
2 1 1
Direct
0.0000 0.0000 0.7613
0.0000 0.0000 0.2387
0.5000 0.5000 0.0000
0.5000 0.5000 0.5000
```


(2)
Density functional theory data (SCAN) for Mn2SbPt at its PBEsol-relaxed geometry.

DOS at the Fermi energy, states/eV/cell: 2.47
E_tot, eV for the cell shown: -144.95
Space-group type: P4mm
Formation energy without anion corrections, eV/atom: -0.246

Cell and atoms, written as POSCAR:
```
Mn2SbPt
1.0
3.4202 0.0000 0.0000
0.0000 3.4128 0.0000
0.0000 0.0000 5.4328
Mn Pt Sb
2 1 1
Direct
0.0000 0.0000 0.0017
0.5000 0.5000 0.2583
0.0000 0.0000 0.4738
0.5000 0.5000 0.7662
```


(3)
Density functional theory data (SCAN) for MnSbPt2 at its PBEsol-relaxed geometry.

DOS at the Fermi energy, states/eV/cell: 1.45
E_tot, eV for the cell shown: -197.51
Space-group type: I-4m2
Formation energy without anion corrections, eV/atom: -0.403

Cell and atoms, written as POSCAR:
```
MnSbPt2
1.0
3.9630 0.0000 0.0000
0.0000 3.9685 0.0000
-1.9815 -1.9843 4.1125
Mn Pt Sb
1 2 1
Direct
0.7502 0.2502 0.5004
0.9998 0.9998 0.9996
0.2498 0.7498 0.4996
0.5002 0.5002 0.0005
```


(4)
Density functional theory data (SCAN) for Mn2SbPt at its PBEsol-relaxed geometry.

DOS at the Fermi energy, states/eV/cell: 3.12
E_tot, eV for the cell shown: -145.29
Space-group type: I-4m2
Formation energy without anion corrections, eV/atom: -0.332

Cell and atoms, written as POSCAR:
```
Mn2SbPt
1.0
3.8280 0.0000 0.0000
0.0000 3.8280 0.0000
-1.9140 -1.9140 4.1621
Mn Pt Sb
2 1 1
Direct
0.0000 0.0000 0.0000
0.7500 0.2500 0.5000
0.5000 0.5000 0.0000
0.2500 0.7500 0.5000
```


(5)
Density functional theory data (SCAN) for MnSbPt2 at its PBEsol-relaxed geometry.

DOS at the Fermi energy, states/eV/cell: 1.74
E_tot, eV for the cell shown: -197.62
Space-group type: Pmm2
Formation energy without anion corrections, eV/atom: -0.428

Cell and atoms, written as POSCAR:
```
MnSbPt2
1.0
3.5163 0.0000 0.0000
0.0000 3.5785 0.0000
0.0000 0.0000 5.3811
Mn Pt Sb
1 2 1
Direct
0.5000 0.5000 0.7903
0.0000 0.0000 0.9674
0.5000 0.5000 0.2732
0.0000 0.0000 0.4691
```


(6)
Density functional theory data (SCAN) for ScMn3Pt at its PBEsol-relaxed geometry.

DOS at the Fermi energy, states/eV/cell: 2.11
E_tot, eV for the cell shown: -133.67
Energy relative to the elements, meV per atom: 1105.7
Space-group type: Pm-3m

Cell and atoms, written as POSCAR:
```
ScMn3Pt
1.0
4.3496 0.0000 0.0000
0.0000 4.3496 0.0000
0.0000 0.0000 4.3496
Sc Mn Pt
1 3 1
Direct
0.0000 0.0000 0.0000
0.0000 0.5000 0.0000
0.0000 0.0000 0.5000
0.5000 0.0000 0.0000
0.5000 0.5000 0.5000
```


(7)
Density functional theory data (SCAN) for ScMnPt2 at its PBEsol-relaxed geometry.

DOS at the Fermi energy, states/eV/cell: 2.62
E_tot, eV for the cell shown: -176.17
Energy relative to the elements, meV per atom: -823.2
Space-group type: F-43m

Cell and atoms, written as POSCAR:
```
ScMnPt2
1.0
-2.8595 -1.9186 2.8107
1.4963 -2.7255 3.1766
-0.1223 1.2707 4.2578
Mn Pt Sc
1 2 1
Direct
0.5000 0.5000 0.5000
0.0000 0.0000 0.0000
0.7500 0.7500 0.7500
0.2500 0.2500 0.2500
```


(8)
Density functional theory data (SCAN) for ScMnPt2 at its PBEsol-relaxed geometry.

DOS at the Fermi energy, states/eV/cell: 1.68
E_tot, eV for the cell shown: -177.26
Energy relative to the elements, meV per atom: -1096.6
Space-group type: I-4m2

Cell and atoms, written as POSCAR:
```
ScMnPt2
1.0
-3.5722 -1.3960 -0.1529
1.1126 -2.5582 -2.6363
2.1676 -0.7564 4.4430
Sc Mn Pt
1 1 2
Direct
0.5000 0.5000 0.0000
0.7500 0.2500 0.5000
0.0000 0.0000 0.0000
0.2500 0.7500 0.5000
```


(9)
Density functional theory data (SCAN) for ScMn2Pt at its PBEsol-relaxed geometry.

DOS at the Fermi energy, states/eV/cell: 3.17
E_tot, eV for the cell shown: -121.87
Energy relative to the elements, meV per atom: -233.4
Space-group type: R3m

Cell and atoms, written as POSCAR:
```
ScMn2Pt
1.0
-0.6908 -1.9045 2.0155
0.6187 -2.7647 -0.3745
7.3469 -0.3975 4.1687
Mn Pt Sc
2 1 1
Direct
0.0073 0.0073 0.9781
0.7440 0.7440 0.7680
0.4956 0.4956 0.5133
0.2531 0.2531 0.2406
```


(10)
Density functional theory data (SCAN) for Sc2MnPt at its PBEsol-relaxed geometry.

DOS at the Fermi energy, states/eV/cell: 2.92
E_tot, eV for the cell shown: -119.43
Energy relative to the elements, meV per atom: -627.1
Space-group type: P4mm

Cell and atoms, written as POSCAR:
```
Sc2MnPt
1.0
-1.9866 1.6547 -2.0722
-1.3915 -2.8546 -0.9453
-4.5711 0.6146 4.8731
Mn Pt Sc
1 1 2
Direct
0.0000 0.0000 0.5229
0.5000 0.5000 0.7394
0.0000 0.0000 0.9428
0.5000 0.5000 0.2949
```


(11)
Density functional theory data (SCAN) for ScMn2Pt at its PBEsol-relaxed geometry.

DOS at the Fermi energy, states/eV/cell: 4.17
E_tot, eV for the cell shown: -123.42
Energy relative to the elements, meV per atom: -619.1
Space-group type: I-4m2

Cell and atoms, written as POSCAR:
```
ScMn2Pt
1.0
3.9232 0.0000 0.0000
0.0000 3.9221 0.0000
-1.9616 -1.9610 3.9377
Mn Pt Sc
2 1 1
Direct
0.0000 0.0000 0.0000
0.7500 0.2500 0.5001
0.5000 0.5000 0.0000
0.2500 0.7500 0.5000
```


(12)
Density functional theory data (SCAN) for ScMnTe2Pt at its PBEsol-relaxed geometry.

DOS at the Fermi energy, states/eV/cell: 3.31
E_tot, eV for the cell shown: -176.88
Space-group type: P4/mmm
Formation energy without anion corrections, eV/atom: 0.062

Cell and atoms, written as POSCAR:
```
ScMnTe2Pt
1.0
4.8256 0.0000 0.0000
0.0000 5.3309 0.0000
0.0000 0.0000 5.3309
Sc Mn Te Pt
1 1 2 1
Direct
0.5000 0.0000 0.0000
0.5000 0.5000 0.5000
0.0000 0.0000 0.5000
0.0000 0.5000 0.0000
0.0000 0.0000 0.0000
```


> What is the DOS at the Fermi energy in the twelfth record?

3.31 states/eV/cell


> The highest DOS at the Fermi energy belongs to which entry?

number 11


Copy entry 5 word for word.
Density functional theory data (SCAN) for MnSbPt2 at its PBEsol-relaxed geometry.

DOS at the Fermi energy, states/eV/cell: 1.74
E_tot, eV for the cell shown: -197.62
Space-group type: Pmm2
Formation energy without anion corrections, eV/atom: -0.428

Cell and atoms, written as POSCAR:
```
MnSbPt2
1.0
3.5163 0.0000 0.0000
0.0000 3.5785 0.0000
0.0000 0.0000 5.3811
Mn Pt Sb
1 2 1
Direct
0.5000 0.5000 0.7903
0.0000 0.0000 0.9674
0.5000 0.5000 0.2732
0.0000 0.0000 0.4691
```